Entry 1:
Be2ZnCl | SCAN | PBEsol geometry

abc: 4.3403 4.3403 4.3403
angles: 60.00 60.00 60.00
With the nearest neighbours (Å) after each atom.
Sites, in units of the cell vectors:
Zn  0.5000  0.5000  0.5000  8 Be 2.66
Be  0.7500  0.7500  0.7500  4 Cl 2.66, 4 Zn 2.66
Be  0.2500  0.2500  0.2500  4 Cl 2.66, 4 Zn 2.66
Cl  0.0000  0.0000  0.0000  8 Be 2.66

Calculated values
ΔE_f (raw) in eV per atom: 1.054
SG: Fm-3m, No. 225

Entry 2:
AgAu3 | SCAN | PBEsol geometry

abc: 2.8532 2.8532 9.5321
angles: 90.00 90.00 120.00
With the nearest neighbours (Å) after each atom.
Sites, in units of the cell vectors:
Ag  0.0000  0.0000  0.0000  6 Ag 2.85, 6 Au 2.87
Au  0.6667  0.3333  0.2467  9 Au 2.85-2.92, 3 Ag 2.87
Au  0.6667  0.3333  0.7533  9 Au 2.85-2.92, 3 Ag 2.87
Au  0.0000  0.0000  0.5000  12 Au 2.85-2.92

Calculated values
SG: P-6m2, No. 187
ΔH_f (0 K) in eV/atom: -0.03

Entry 3:
Be2IrAu | SCAN | PBEsol geometry

abc: 2.8763 2.8763 5.5869
angles: 90.00 90.00 90.00
With the nearest neighbours (Å) after each atom.
Sites, in units of the cell vectors:
Ir  0.5000  0.5000  0.0000  8 Be 2.36
Be  0.0000  0.0000  0.2159  4 Ir 2.36, 1 Be 2.41, 4 Au 2.58
Au  0.5000  0.5000  0.5000  8 Be 2.58, 2 Ir 2.79, 4 Au 2.88
Be  0.0000  0.0000  0.7841  4 Ir 2.36, 1 Be 2.41, 4 Au 2.58

Calculated values
SG: P4/mmm, No. 123
ΔH_f (0 K) in eV/atom: -0.63